1.
VASP calculation (PBE) on Na2Pu2Hg7 after structural relaxation.

## Properties
Its density is 9.82 Mg/m³. The energy of formation from the pure elements is 5.80 kJ per mole of atoms.

The structure in CIF format:
```
data_Na2Pu2Hg7
_cell_length_a 9.567
_cell_length_b 11.209
_cell_length_c 6.115
_cell_angle_alpha 90.00
_cell_angle_beta 90.00
_cell_angle_gamma 90.00
_space_group_name_H-M_alt 'C m m m'
_space_group_IT_number 65
_space_group_name_Hall '-C 2 2'
loop_
_atom_site_label
_atom_site_type_symbol
_atom_site_fract_x
_atom_site_fract_y
_atom_site_fract_z
Na1 Na 0.000 0.233 0.000
Pu1 Pu 0.177 0.500 0.500
Hg1 Hg 0.000 0.000 0.257
Hg2 Hg 0.000 0.500 0.000
Hg3 Hg 0.250 0.250 0.259
```

=====

2.
VASP calculation (PBE) on Na4PuHg15 after structural relaxation.

## Properties
Its density is 10.77 Mg/m³. The energy of formation from the pure elements is -16.72 kJ per mole of atoms.

The structure in CIF format:
```
data_Na4PuHg15
_cell_length_a 4.708
_cell_length_b 4.708
_cell_length_c 23.269
_cell_angle_alpha 90.00
_cell_angle_beta 90.00
_cell_angle_gamma 90.00
_space_group_name_H-M_alt 'P 4/m m m'
_space_group_IT_number 123
_space_group_name_Hall '-P 4 2'
loop_
_atom_site_label
_atom_site_type_symbol
_atom_site_fract_x
_atom_site_fract_y
_atom_site_fract_z
Na1 Na 0.000 0.000 0.100
Na2 Na 0.000 0.000 0.299
Pu1 Pu 0.000 0.000 0.500
Hg1 Hg 0.000 0.500 0.000
Hg2 Hg 0.000 0.500 0.200
Hg3 Hg 0.000 0.500 0.400
Hg4 Hg 0.500 0.500 0.100
Hg5 Hg 0.500 0.500 0.302
Hg6 Hg 0.500 0.500 0.500
```

=====

3.
VASP calculation (PBE) on Na3Pu2HgS6 after structural relaxation.

## Properties
The calculation puts the formation energy (no corrections) at -14.30 eV per formula unit. Its density is 5.72 Mg/m³.

The structure in CIF format:
```
data_Na3Pu2HgS6
_cell_length_a 6.917
_cell_length_b 11.932
_cell_length_c 7.069
_cell_angle_alpha 90.00
_cell_angle_beta 109.08
_cell_angle_gamma 90.00
_space_group_name_H-M_alt 'C 1 2/m 1'
_space_group_IT_number 12
loop_
_space_group_symop_operation_xyz
'x,y,z'
'-x,-y,-z'
'-x,y,-z'
'x,-y,z'
'x+1/2,y+1/2,z'
'-x+1/2,-y+1/2,-z'
'-x+1/2,y+1/2,-z'
'x+1/2,-y+1/2,z'
loop_
_atom_site_label
_atom_site_type_symbol
_atom_site_fract_x
_atom_site_fract_y
_atom_site_fract_z
Na1 Na 0.000 0.000 0.000
Na2 Na 0.000 0.339 0.000
Pu1 Pu 0.000 0.167 0.500
Hg1 Hg 0.000 0.500 0.500
S1 S 0.230 0.000 0.730
S2 S 0.249 0.328 0.729
```

=====

4.
VASP calculation (PBE) on Na3Pu3HgS8 after structural relaxation.

## Properties
The calculation puts the formation energy (no corrections) at -18.32 eV per formula unit. Its density is 5.72 Mg/m³.

The structure in CIF format:
```
data_Na3Pu3HgS8
_cell_length_a 13.529
_cell_length_b 8.152
_cell_length_c 8.024
_cell_angle_alpha 90.00
_cell_angle_beta 124.38
_cell_angle_gamma 90.00
_space_group_name_H-M_alt 'C 1 2/m 1'
_space_group_IT_number 12
loop_
_space_group_symop_operation_xyz
'x,y,z'
'-x,-y,-z'
'-x,y,-z'
'x,-y,z'
'x+1/2,y+1/2,z'
'-x+1/2,-y+1/2,-z'
'-x+1/2,y+1/2,-z'
'x+1/2,-y+1/2,z'
loop_
_atom_site_label
_atom_site_type_symbol
_atom_site_fract_x
_atom_site_fract_y
_atom_site_fract_z
Na1 Na 0.000 0.000 0.000
Na2 Na 0.250 0.250 0.000
Pu1 Pu 0.000 0.500 0.500
Pu2 Pu 0.250 0.250 0.500
Hg1 Hg 0.000 0.000 0.500
S1 S 0.012 0.275 0.269
S2 S 0.228 0.000 0.712
S3 S 0.245 0.500 0.726
```

=====

5.
VASP calculation (PBE) on Na2PuHgS4 after structural relaxation.

## Properties
The calculation puts the formation energy (no corrections) at -7.97 eV per formula unit. Its density is 5.57 Mg/m³.

The structure in CIF format:
```
data_Na2PuHgS4
_cell_length_a 6.991
_cell_length_b 3.972
_cell_length_c 7.157
_cell_angle_alpha 90.00
_cell_angle_beta 111.90
_cell_angle_gamma 90.00
_space_group_name_H-M_alt 'P 1 2/m 1'
_space_group_IT_number 10
loop_
_space_group_symop_operation_xyz
'x,y,z'
'-x,-y,-z'
'-x,y,-z'
'x,-y,z'
loop_
_atom_site_label
_atom_site_type_symbol
_atom_site_fract_x
_atom_site_fract_y
_atom_site_fract_z
Na1 Na 0.000 0.000 0.000
Na2 Na 0.500 0.500 0.000
Pu1 Pu 0.000 0.500 0.500
Hg1 Hg 0.500 0.000 0.500
S1 S 0.218 0.000 0.740
S2 S 0.254 0.500 0.288
```

=====

6.
VASP calculation (PBE) on Na4Pu3HgS8 after structural relaxation.

## Properties
The calculation puts the formation energy (no corrections) at -20.00 eV per formula unit. Its density is 5.69 Mg/m³.

The structure in CIF format:
```
data_Na4Pu3HgS8
_cell_length_a 14.040
_cell_length_b 7.997
_cell_length_c 8.102
_cell_angle_alpha 90.00
_cell_angle_beta 124.78
_cell_angle_gamma 90.00
_space_group_name_H-M_alt 'C 1 2/m 1'
_space_group_IT_number 12
loop_
_space_group_symop_operation_xyz
'x,y,z'
'-x,-y,-z'
'-x,y,-z'
'x,-y,z'
'x+1/2,y+1/2,z'
'-x+1/2,-y+1/2,-z'
'-x+1/2,y+1/2,-z'
'x+1/2,-y+1/2,z'
loop_
_atom_site_label
_atom_site_type_symbol
_atom_site_fract_x
_atom_site_fract_y
_atom_site_fract_z
Na1 Na 0.000 0.000 0.000
Na2 Na 0.000 0.500 0.000
Na3 Na 0.250 0.250 0.000
Pu1 Pu 0.000 0.000 0.500
Pu2 Pu 0.250 0.250 0.500
Hg1 Hg 0.000 0.500 0.500
S1 S 0.009 0.248 0.272
S2 S 0.242 0.000 0.726
S3 S 0.247 0.000 0.268
```

=====

7.
VASP calculation (PBE) on Na3Pu3HgSe8 after structural relaxation.

## Properties
The calculation puts the formation energy (no corrections) at -16.66 eV per formula unit. Its density is 6.56 Mg/m³.

The structure in CIF format:
```
data_Na3Pu3HgSe8
_cell_length_a 14.454
_cell_length_b 8.227
_cell_length_c 8.464
_cell_angle_alpha 90.00
_cell_angle_beta 124.77
_cell_angle_gamma 90.00
_space_group_name_H-M_alt 'C 1 2/m 1'
_space_group_IT_number 12
loop_
_space_group_symop_operation_xyz
'x,y,z'
'-x,-y,-z'
'-x,y,-z'
'x,-y,z'
'x+1/2,y+1/2,z'
'-x+1/2,-y+1/2,-z'
'-x+1/2,y+1/2,-z'
'x+1/2,-y+1/2,z'
loop_
_atom_site_label
_atom_site_type_symbol
_atom_site_fract_x
_atom_site_fract_y
_atom_site_fract_z
Na1 Na 0.000 0.000 0.000
Na2 Na 0.250 0.250 0.000
Pu1 Pu 0.000 0.500 0.500
Pu2 Pu 0.250 0.250 0.500
Hg1 Hg 0.000 0.000 0.500
Se1 Se 0.009 0.251 0.274
Se2 Se 0.242 0.500 0.264
Se3 Se 0.243 0.500 0.731
```

=====

8.
VASP calculation (PBE) on Na2PuHgSe4 after structural relaxation.

## Properties
The calculation puts the formation energy (no corrections) at -7.42 eV per formula unit. Its density is 6.36 Mg/m³.

The structure in CIF format:
```
data_Na2PuHgSe4
_cell_length_a 7.322
_cell_length_b 4.136
_cell_length_c 7.483
_cell_angle_alpha 90.00
_cell_angle_beta 111.72
_cell_angle_gamma 90.00
_space_group_name_H-M_alt 'P 1 2/m 1'
_space_group_IT_number 10
loop_
_space_group_symop_operation_xyz
'x,y,z'
'-x,-y,-z'
'-x,y,-z'
'x,-y,z'
loop_
_atom_site_label
_atom_site_type_symbol
_atom_site_fract_x
_atom_site_fract_y
_atom_site_fract_z
Na1 Na 0.000 0.000 0.000
Na2 Na 0.500 0.500 0.000
Pu1 Pu 0.000 0.500 0.500
Hg1 Hg 0.500 0.000 0.500
Se1 Se 0.221 0.000 0.743
Se2 Se 0.257 0.500 0.287
```

=====

9.
VASP calculation (PBE) on NaPuSiHg after structural relaxation.

## Properties
The calculation puts the formation energy (no corrections) at -0.24 eV per formula unit. Its density is 8.90 Mg/m³.

The structure in CIF format:
```
data_NaPuSiHg
_cell_length_a 7.179
_cell_length_b 7.179
_cell_length_c 7.179
_cell_angle_alpha 90.00
_cell_angle_beta 90.00
_cell_angle_gamma 90.00
_space_group_name_H-M_alt 'F -4 3 m'
_space_group_IT_number 216
_space_group_name_Hall 'F -4 2 3'
loop_
_atom_site_label
_atom_site_type_symbol
_atom_site_fract_x
_atom_site_fract_y
_atom_site_fract_z
Na1 Na 0.000 0.000 0.000
Pu1 Pu 0.000 0.000 0.500
Si1 Si 0.250 0.250 0.250
Hg1 Hg 0.250 0.250 0.750
```

=====

10.
VASP calculation (PBE) on NaPuSnHg after structural relaxation.

## Properties
Its density is 9.29 Mg/m³. The energy of formation from the pure elements is -19.77 kJ per mole of atoms.

The structure in CIF format:
```
data_NaPuSnHg
_cell_length_a 7.484
_cell_length_b 7.484
_cell_length_c 7.484
_cell_angle_alpha 90.00
_cell_angle_beta 90.00
_cell_angle_gamma 90.00
_space_group_name_H-M_alt 'F -4 3 m'
_space_group_IT_number 216
_space_group_name_Hall 'F -4 2 3'
loop_
_atom_site_label
_atom_site_type_symbol
_atom_site_fract_x
_atom_site_fract_y
_atom_site_fract_z
Na1 Na 0.000 0.000 0.000
Pu1 Pu 0.000 0.000 0.500
Sn1 Sn 0.250 0.250 0.750
Hg1 Hg 0.250 0.250 0.250
```

=====

11.
VASP calculation (PBE) on Na2PuHgTe4 after structural relaxation.

## Properties
The calculation puts the formation energy (no corrections) at -5.23 eV per formula unit. Its density is 6.41 Mg/m³.

The structure in CIF format:
```
data_Na2PuHgTe4
_cell_length_a 7.916
_cell_length_b 4.384
_cell_length_c 8.020
_cell_angle_alpha 90.00
_cell_angle_beta 111.24
_cell_angle_gamma 90.00
_space_group_name_H-M_alt 'P 1 2/m 1'
_space_group_IT_number 10
loop_
_space_group_symop_operation_xyz
'x,y,z'
'-x,-y,-z'
'-x,y,-z'
'x,-y,z'
loop_
_atom_site_label
_atom_site_type_symbol
_atom_site_fract_x
_atom_site_fract_y
_atom_site_fract_z
Na1 Na 0.000 0.000 0.000
Na2 Na 0.500 0.500 0.000
Pu1 Pu 0.000 0.500 0.500
Hg1 Hg 0.500 0.000 0.500
Te1 Te 0.224 0.000 0.749
Te2 Te 0.265 0.500 0.290
```

=====

12.
VASP calculation (PBE) on NaPuTlHg after structural relaxation.

## Properties
Its density is 10.45 Mg/m³. The energy of formation from the pure elements is -4.03 kJ per mole of atoms. The excess energy over the best structure of this formula in the dataset comes out at 52 meV/atom.

The structure in CIF format:
```
data_NaPuTlHg
_cell_length_a 7.530
_cell_length_b 7.530
_cell_length_c 7.530
_cell_angle_alpha 90.00
_cell_angle_beta 90.00
_cell_angle_gamma 90.00
_space_group_name_H-M_alt 'F -4 3 m'
_space_group_IT_number 216
_space_group_name_Hall 'F -4 2 3'
loop_
_atom_site_label
_atom_site_type_symbol
_atom_site_fract_x
_atom_site_fract_y
_atom_site_fract_z
Na1 Na 0.000 0.000 0.000
Pu1 Pu 0.000 0.000 0.500
Tl1 Tl 0.250 0.250 0.250
Hg1 Hg 0.250 0.250 0.750
```